# CaPr15Dy4 | the Alexandria database | PBE | relaxed
data_CaPr15Dy4
_cell_length_a 5.2212
_cell_length_b 5.2212
_cell_length_c 25.9864
_cell_angle_alpha 90.00
_cell_angle_beta 90.00
_cell_angle_gamma 90.00
_symmetry_space_group_name_H-M 'P 4/m m m'
_symmetry_Int_Tables_number 123
_symmetry_space_group_name_Hall '-P 4 2'
loop_
_atom_site_label
_atom_site_fract_x
_atom_site_fract_y
_atom_site_fract_z
_atom_site_occupancy
Ca1 0.0000 0.0000 0.0000 1
Pr1 0.0000 0.5000 0.1037 1
Pr2 0.0000 0.5000 0.3014 1
Pr3 0.0000 0.5000 0.5000 1
Pr4 0.5000 0.5000 0.0000 1
Pr5 0.5000 0.5000 0.2015 1
Pr6 0.5000 0.5000 0.4003 1
Dy1 0.0000 0.0000 0.2014 1
Dy2 0.0000 0.0000 0.4008 1
# ΔE_f in meV/atom: 18.7
# Mass density in g/cm³: 6.6